Record 1
# PBE-GGA AlHgRu2, relaxed
# Formation energy from the elements in eV per atom: 0.186
# Relative energy among the computed polymorphs in meV per atom: 159
# Space group: Imm2, No. 44
# Calculated volume in Å³/atom: 15.7
# Spin magnetization in μB/atom: 0.00
# Crystal system: orthorhombic
data_AlHgRu2
_space_group_name_H-M_alt 'P 1'
_space_group_IT_number 1
_cell_length_a 5.3310
_cell_length_b 5.3310
_cell_length_c 5.3310
_cell_angle_alpha 146.93
_cell_angle_beta 129.98
_cell_angle_gamma 61.29
loop_
_space_group_symop_operation_xyz
'x,y,z'
loop_
_atom_site_label
_atom_site_type_symbol
_atom_site_fract_x
_atom_site_fract_y
_atom_site_fract_z
Ru1 Ru 0.0158 0.0158 0.0000
Ru2 Ru 0.2580 0.7580 0.5000
Hg1 Hg 0.7418 0.2418 0.5000
Al1 Al 0.4844 0.4844 0.0000

Record 2
# PBE-GGA Al2HgRu, relaxed
# Formation energy from the elements in eV per atom: -0.082
# Space group: Cmmm, No. 65
# Calculated volume in Å³/atom: 15.9
# Spin magnetization in μB/atom: 0.00
# Crystal system: orthorhombic
data_Al2HgRu
_space_group_name_H-M_alt 'P 1'
_space_group_IT_number 1
_cell_length_a 4.5153
_cell_length_b 4.5153
_cell_length_c 3.1669
_cell_angle_alpha 90.00
_cell_angle_beta 90.00
_cell_angle_gamma 100.80
loop_
_space_group_symop_operation_xyz
'x,y,z'
loop_
_atom_site_label
_atom_site_type_symbol
_atom_site_fract_x
_atom_site_fract_y
_atom_site_fract_z
Al1 Al 0.0000 0.0000 0.0000
Al2 Al 0.5000 0.5000 0.0000
Ru1 Ru 0.0000 0.5000 0.5000
Hg1 Hg 0.5000 0.0000 0.5000

Record 3
# PBE-GGA AlHg2Ru, relaxed
# Formation energy from the elements in eV per atom: 0.136
# Space group: R3m, No. 160
# Calculated volume in Å³/atom: 19.1
# Spin magnetization in μB/atom: 0.00
# Crystal system: trigonal
data_AlHg2Ru
_space_group_name_H-M_alt 'P 1'
_space_group_IT_number 1
_cell_length_a 9.6818
_cell_length_b 9.6818
_cell_length_c 9.6818
_cell_angle_alpha 18.10
_cell_angle_beta 18.10
_cell_angle_gamma 18.10
loop_
_space_group_symop_operation_xyz
'x,y,z'
loop_
_atom_site_label
_atom_site_type_symbol
_atom_site_fract_x
_atom_site_fract_y
_atom_site_fract_z
Hg1 Hg 0.2392 0.2392 0.2392
Hg2 Hg 0.0074 0.0074 0.0074
Al1 Al 0.7633 0.7633 0.7633
Ru1 Ru 0.4902 0.4902 0.4902

Record 4
# PBE-GGA AlHg2Ru, relaxed
# Formation energy from the elements in eV per atom: 0.257
# Space group: P2/m, No. 10
# Calculated volume in Å³/atom: 18.0
# Spin magnetization in μB/atom: 0.00
# Crystal system: monoclinic
data_AlHg2Ru
_space_group_name_H-M_alt 'P 1'
_space_group_IT_number 1
_cell_length_a 3.2648
_cell_length_b 4.7102
_cell_length_c 5.7428
_cell_angle_alpha 54.46
_cell_angle_beta 90.00
_cell_angle_gamma 90.00
loop_
_space_group_symop_operation_xyz
'x,y,z'
loop_
_atom_site_label
_atom_site_type_symbol
_atom_site_fract_x
_atom_site_fract_y
_atom_site_fract_z
Al1 Al 0.0000 0.0000 0.5000
Hg1 Hg 0.0000 0.0000 0.0000
Hg2 Hg 0.5000 0.5000 0.0000
Ru1 Ru 0.5000 0.5000 0.5000

Record 5
# PBE-GGA AlHgRu2, relaxed
# Formation energy from the elements in eV per atom: 0.164
# Relative energy among the computed polymorphs in meV per atom: 137
# Space group: R3m, No. 160
# Calculated volume in Å³/atom: 16.1
# Spin magnetization in μB/atom: 0.00
# Crystal system: trigonal
data_AlHgRu2
_space_group_name_H-M_alt 'P 1'
_space_group_IT_number 1
_cell_length_a 9.1200
_cell_length_b 9.1200
_cell_length_c 9.1200
_cell_angle_alpha 18.16
_cell_angle_beta 18.16
_cell_angle_gamma 18.16
loop_
_space_group_symop_operation_xyz
'x,y,z'
loop_
_atom_site_label
_atom_site_type_symbol
_atom_site_fract_x
_atom_site_fract_y
_atom_site_fract_z
Ru1 Ru 0.9911 0.9911 0.9911
Ru2 Ru 0.2501 0.2501 0.2501
Hg1 Hg 0.7498 0.7498 0.7498
Al1 Al 0.5089 0.5089 0.5089

Record 6
# PBE-GGA Al2HgRu2, relaxed
# Formation energy from the elements in eV per atom: -0.242
# Relative energy among the computed polymorphs in meV per atom: 0
# Space group: P4/mbm, No. 127
# Calculated volume in Å³/atom: 15.9
# Spin magnetization in μB/atom: 0.00
# Crystal system: tetragonal
data_Al2HgRu2
_space_group_name_H-M_alt 'P 1'
_space_group_IT_number 1
_cell_length_a 7.0868
_cell_length_b 7.0868
_cell_length_c 3.1593
_cell_angle_alpha 90.00
_cell_angle_beta 90.00
_cell_angle_gamma 90.00
loop_
_space_group_symop_operation_xyz
'x,y,z'
loop_
_atom_site_label
_atom_site_type_symbol
_atom_site_fract_x
_atom_site_fract_y
_atom_site_fract_z
Ru1 Ru 0.6468 0.1468 0.0000
Ru2 Ru 0.1468 0.3532 0.0000
Ru3 Ru 0.3532 0.8532 0.0000
Ru4 Ru 0.8532 0.6468 0.0000
Al1 Al 0.1452 0.6452 0.5000
Al2 Al 0.3548 0.1452 0.5000
Al3 Al 0.8548 0.3548 0.5000
Al4 Al 0.6452 0.8548 0.5000
Hg1 Hg 0.5000 0.5000 0.0000
Hg2 Hg 0.0000 0.0000 0.0000

Record 7
# PBE-GGA AlHg2Ru, relaxed
# Formation energy from the elements in eV per atom: 0.356
# Space group: P2/m, No. 10
# Calculated volume in Å³/atom: 18.6
# Spin magnetization in μB/atom: 0.22
# Crystal system: monoclinic
data_AlHg2Ru
_space_group_name_H-M_alt 'P 1'
_space_group_IT_number 1
_cell_length_a 5.0962
_cell_length_b 2.9903
_cell_length_c 4.8929
_cell_angle_alpha 91.64
_cell_angle_beta 90.00
_cell_angle_gamma 90.00
loop_
_space_group_symop_operation_xyz
'x,y,z'
loop_
_atom_site_label
_atom_site_type_symbol
_atom_site_fract_x
_atom_site_fract_y
_atom_site_fract_z
Ru1 Ru 0.5000 0.2500 0.2500
Hg1 Hg 0.0000 0.9876 0.0031
Hg2 Hg 0.0000 0.5124 0.4969
Al1 Al 0.5000 0.7500 0.7500

Record 8
# PBE-GGA AlHg2Ru, relaxed
# Formation energy from the elements in eV per atom: 0.193
# Space group: Cm, No. 8
# Calculated volume in Å³/atom: 18.2
# Spin magnetization in μB/atom: 0.00
# Crystal system: monoclinic
data_AlHg2Ru
_space_group_name_H-M_alt 'P 1'
_space_group_IT_number 1
_cell_length_a 5.4886
_cell_length_b 5.4886
_cell_length_c 4.4546
_cell_angle_alpha 65.92
_cell_angle_beta 65.92
_cell_angle_gamma 36.82
loop_
_space_group_symop_operation_xyz
'x,y,z'
loop_
_atom_site_label
_atom_site_type_symbol
_atom_site_fract_x
_atom_site_fract_y
_atom_site_fract_z
Hg1 Hg 0.2363 0.2363 0.2638
Hg2 Hg 0.0131 0.0131 0.9864
Ru1 Ru 0.4706 0.4706 0.5289
Al1 Al 0.7800 0.7800 0.7209

Question: The highest calculated volume belongs to which entry?
Answer: number 3